1.
ReCl GGA-PBE optimized geometry; raw formation energy = 0.762 eV/atom; distance to the lowest polymorph of the same formula = 169 kJ/mol of formula units
1.0
-0.2692 2.7766 -0.2140
-1.0811 -1.6662 -1.9704
-11.0567 -0.5673 6.5459
Cl Re
2 2
Cartesian
-1.9300 -0.2427 -0.7222
-7.1877 0.9546 3.1363
-3.7929 -0.3383 0.3808
-9.0506 0.8590 4.2392

=====

2.
Ce2ThTl2Cd2 GGA-PBE optimized geometry; DFT formation energy = -101 meV/atom
1.0
4.8648 0.0000 0.0000
-2.4324 5.2437 -0.1226
0.0000 -1.9649 7.5770
Ce Th Cd Tl
2 1 2 2
Cartesian
2.4324 -0.8726 5.1848
0.0000 4.1513 2.2696
0.0000 0.0000 0.0000
0.0000 1.1847 6.5628
2.4324 2.0940 0.8916
0.0000 0.7969 3.3013
2.4324 2.4819 4.1531

=====

3.
K2PuTh2Te6 GGA-PBE optimized geometry; raw formation energy = -1.191 eV/atom
1.0
-1.1625 -6.6286 -4.0918
-2.6353 0.5924 7.3984
-6.0624 5.0374 -3.9428
Th Pu Te K
2 1 6 2
Cartesian
-4.6847 -1.7024 -2.2323
-5.1755 0.7036 1.5962
-3.0312 2.5187 -1.9714
-7.0890 -0.8253 -0.3900
-5.4702 3.3574 -0.0776
-4.9737 0.9231 -3.9512
-2.7712 -0.1735 -0.2462
-4.3900 -4.3562 -0.5586
-4.8865 -1.9219 3.3150
-1.4059 -5.4356 -2.1934
-2.3920 -0.6006 5.5001

=====

4.
TbGdZnBi GGA-PBE optimized geometry; DFT formation energy = -429 meV/atom
1.0
5.3221 0.0000 0.0000
2.6611 4.6091 0.0000
2.6611 1.5364 4.3455
Gd Bi Zn Tb
1 1 1 1
Cartesian
0.0000 0.0000 0.0000
7.9832 4.6091 3.2591
2.6611 1.5364 1.0864
5.3221 3.0727 2.1727

=====

5.
PrSmDy2Y5 GGA-PBE optimized geometry; DFT formation energy = 264 meV/atom
1.0
-4.5041 -7.6649 -0.4545
7.4559 -4.4919 1.8642
-3.0266 6.5539 6.6431
Y Pr Dy Sm
10 2 4 2
Cartesian
-1.7895 -7.3046 2.1380
0.1484 -2.5438 5.8589
-3.9939 -1.0028 4.8850
1.4759 -6.0784 0.7048
-0.2232 -3.0590 2.1938
0.0000 0.0000 0.0000
3.9191 -4.6000 3.1677
1.7147 1.7017 5.9147
2.3528 -8.8456 3.1119
-2.4276 3.2427 4.9408
0.7006 -5.8406 4.3788
-0.7754 0.2378 3.6740
-1.9151 -5.2202 -0.0664
0.5891 -9.5486 0.7423
4.8669 -6.9366 1.4760
2.3627 -2.6082 0.6674
2.9526 -2.0082 4.6061
-3.0274 -3.5947 3.4467

=====

6.
ZrFeBi2 GGA-PBE optimized geometry; DFT formation energy = 377 meV/atom; distance to the lowest polymorph of the same formula = 38 kJ/mol of formula units
1.0
-5.0225 -5.5690 2.0360
-0.5598 -2.2110 -7.4285
-0.3540 -5.9328 -2.2718
Zr Bi Fe
2 4 2
Cartesian
0.0000 0.0000 0.0000
-4.0838 -7.6959 -1.4660
-3.0928 -5.0132 -0.3070
-2.3816 -7.4573 -4.0288
-5.1271 -11.1670 -6.1194
-1.2709 -3.7882 -4.8732
-1.8524 -6.0169 -6.1982
-2.7911 -3.8900 -2.6962

=====

| no. | size of the total moment (μB/f.u.) | calculated total energy (eV per cell) |
| --- | --- | --- |
| 1 | 0.00 | -25.54 |
| 2 | 1.50 | -26.56 |
| 3 | 6.03 | -63.32 |
| 4 | 7.42 | -25.58 |
| 5 | 0.00 | -97.30 |
| 6 | 2.34 | -46.53 |